1.
Below is a relaxed Ho2TeO6 crystal, with properties calculated at the GGA-PBE level.

It has space group P2_1/c (No. 14), with a = 5.4961 Å, b = 5.6906 Å, c = 9.4396 Å, α = 90.00°, β = 119.51° and γ = 90.00°. The asymmetric unit holds Ho at (0.1920, 0.0667, 0.2323), Te at (0.5000, 0.0000, 0.0000), O at (0.1712, 0.1830, 0.9532), O at (0.2358, 0.7419, 0.8844) and O at (0.4704, 0.1111, 0.7991).

The value obtained for the formation energy from raw total energies is -57.9 kcal/mol of atoms. As for the final energy: -129.28 eV per cell. The calculation puts the magnetic moment at 0.00 μB/atom.

=====

2.
Below is a relaxed TcSeCl2 crystal, with properties calculated at the GGA-PBE level.

It has space group C2/m (No. 12), with a = 6.0092 Å, b = 8.5962 Å, c = 4.4024 Å, α = 90.00°, β = 132.78° and γ = 90.00°. The asymmetric unit holds Tc at (0.0000, 0.0000, 0.0000), Se at (0.0000, 0.5000, 0.0000) and Cl at (0.2500, 0.2500, 0.5000).

The value obtained for the formation energy from raw total energies is 13.2 kcal/mol of atoms. As for the final energy: -30.51 eV per cell. The calculation puts the magnetic moment at 0.87 μB/atom.